Below is crystalline CsRb2Cd2 at its relaxed geometry, with properties calculated at the GGA-PBEsol level.

Computed properties:
E   -1.03 eV per atom
Formation energy from the elements   0.0454 eV/atom
Theoretical density   3.47 g cm⁻³

Unit cell a=9.6484 b=9.6484 c=5.4364 alpha=90.00 beta=90.00 gamma=90.00
Last column: nearest neighbours and their distance in Å.
Fractional positions:
Cs 0.0000 0.0000 0.0000  4 Cd 3.94
Cs 0.5000 0.5000 0.0000  4 Cd 3.94
Rb 0.1697 0.3303 0.5000  6 Cd 3.85-4.10
Rb 0.3303 0.8303 0.5000  6 Cd 3.85-4.10
Rb 0.6697 0.1697 0.5000  6 Cd 3.85-4.10
Rb 0.8303 0.6697 0.5000  6 Cd 3.85-4.10
Cd 0.1058 0.6058 0.0000  1 Cd 2.89
Cd 0.3942 0.1058 0.0000  1 Cd 2.89
Cd 0.6058 0.8942 0.0000  1 Cd 2.89
Cd 0.8942 0.3942 0.0000  1 Cd 2.89



Below is crystalline Mg2PRh at its relaxed geometry, with properties calculated at the GGA-PBEsol level.

Computed properties:
E   -4.38 eV per atom
Formation energy from the elements   -0.0378 eV/atom
Theoretical density   4.59 g cm⁻³

Unit cell a=5.6760 b=5.6760 c=5.6760 alpha=101.99 beta=101.99 gamma=125.77
Last column: nearest neighbours and their distance in Å.
Fractional positions:
Mg 0.1091 0.6250 0.9841  2 P 2.53, 2 Mg 2.60, 2 Rh 2.69
Mg 0.3750 0.3591 0.4841  2 P 2.53, 2 Mg 2.60, 2 Rh 2.69
Mg 0.6409 0.1250 0.0159  2 P 2.53, 2 Mg 2.60, 2 Rh 2.69
Mg 0.8750 0.8909 0.5159  2 P 2.53, 2 Mg 2.60, 2 Rh 2.69
P 0.0000 0.0000 0.0000  4 Mg 2.53, 2 Rh 2.59
P 0.7500 0.2500 0.5000  4 Mg 2.53, 2 Rh 2.59
Rh 0.2500 0.7500 0.5000  2 P 2.59, 4 Mg 2.69
Rh 0.5000 0.5000 0.0000  2 P 2.59, 4 Mg 2.69



Below is crystalline Mn2CoPb at its relaxed geometry, with properties calculated at the GGA-PBEsol level.

Computed properties:
E   -7.36 eV per atom
Formation energy from the elements   0.4537 eV/atom
Theoretical density   10.98 g cm⁻³

Unit cell a=3.7938 b=3.7938 c=3.9497 alpha=90.00 beta=90.00 gamma=90.00
Last column: nearest neighbours and their distance in Å.
Fractional positions:
Mn 0.0000 0.5000 0.0000  4 Mn 2.68, 4 Pb 2.74, 4 Co 2.74
Mn 0.5000 0.0000 0.0000  4 Mn 2.68, 4 Pb 2.74, 4 Co 2.74
Co 0.0000 0.0000 0.5000  4 Pb 2.68, 8 Mn 2.74
Pb 0.5000 0.5000 0.5000  4 Co 2.68, 8 Mn 2.74



Below is crystalline Zn2PSe at its relaxed geometry, with properties calculated at the GGA-PBEsol level.

Computed properties:
E   -3.34 eV per atom
Theoretical density   5.37 g cm⁻³
ΔE_f (raw)   -0.1425 eV/atom

Unit cell a=4.0404 b=4.0404 c=6.4860 alpha=90.19 beta=90.19 gamma=44.71
Last column: nearest neighbours and their distance in Å.
Fractional positions:
Zn 0.0000 0.0000 0.0000  3 P 2.31-2.45
Zn 0.2103 0.2103 0.4469  3 Se 2.44-2.66, 2 P 2.46
P 0.7206 0.7206 0.1505  5 Zn 2.31-2.46
Se 0.4836 0.4836 0.6550  5 Zn 2.44-2.72



Below is crystalline CoAsIrN2 at its relaxed geometry, with properties calculated at the GGA-PBEsol level.

Computed properties:
E   -6.15 eV per atom
Theoretical density   9.04 g cm⁻³
ΔE_f (raw)   1.7938 eV/atom

Unit cell a=3.6298 b=3.6298 c=4.9374 alpha=90.00 beta=90.00 gamma=90.00
Last column: nearest neighbours and their distance in Å.
Fractional positions:
Co 0.0000 0.0000 0.0000  4 Ir 2.57
As 0.5000 0.5000 0.5000  4 N 1.81
Ir 0.5000 0.5000 0.0000  2 As 2.47, 4 Co 2.57
N 0.0000 0.5000 0.5000  2 As 1.81
N 0.5000 0.0000 0.5000  2 As 1.81



Below is crystalline Ta3ZnS at its relaxed geometry, with properties calculated at the GGA-PBEsol level.

Computed properties:
E   -8.31 eV per atom
Theoretical density   11.68 g cm⁻³
ΔE_f (raw)   0.4157 eV/atom

Unit cell a=4.4983 b=4.4983 c=4.4983 alpha=90.00 beta=90.00 gamma=90.00
Last column: nearest neighbours and their distance in Å.
Fractional positions:
Ta 0.0000 0.0000 0.5000  2 S 2.25
Ta 0.0000 0.5000 0.0000  2 S 2.25
Ta 0.5000 0.0000 0.0000  2 S 2.25
Zn 0.5000 0.5000 0.5000  12 Ta 3.18
S 0.0000 0.0000 0.0000  6 Ta 2.25



Below is crystalline Li3TiV2O6 at its relaxed geometry, with properties calculated at the GGA-PBEsol level.

Computed properties:
E   -7.88 eV per atom
Theoretical density   4.37 g cm⁻³
ΔE_f (raw)   -2.4664 eV/atom

Unit cell a=6.5838 b=6.5838 c=5.8770 alpha=107.50 beta=107.50 gamma=24.70
Last column: nearest neighbours and their distance in Å.
Fractional positions:
Li 0.0000 0.0000 0.0000  6 O 1.98-2.10
Li 0.3313 0.3313 0.6555  6 O 2.03-2.15
Li 0.6687 0.6687 0.3445  6 O 2.03-2.15
Ti 0.0000 0.0000 0.5000  6 O 1.98
V 0.3193 0.3193 0.1289  6 O 1.98-2.13
V 0.6807 0.6807 0.8711  6 O 1.98-2.13
O 0.1613 0.1613 0.0924  3 Li 1.98-2.03, 3 V 1.98
O 0.1619 0.1619 0.6034  1 Ti 1.98, 2 V 2.07, 3 Li 2.09-2.11
O 0.4936 0.4936 0.2603  2 Ti 1.98, 3 Li 2.10-2.15, 1 V 2.13
O 0.5064 0.5064 0.7397  2 Ti 1.98, 3 Li 2.10-2.15, 1 V 2.13
O 0.8381 0.8381 0.3966  1 Ti 1.98, 2 V 2.07, 3 Li 2.09-2.11
O 0.8387 0.8387 0.9076  3 Li 1.98-2.03, 3 V 1.98



Below is crystalline Y2MnNbW at its relaxed geometry, with properties calculated at the GGA-PBEsol level.

Computed properties:
E   -8.58 eV per atom
Formation energy from the elements   1.0278 eV/atom
Theoretical density   7.61 g cm⁻³

Unit cell a=5.0174 b=5.0174 c=4.4158 alpha=90.00 beta=90.00 gamma=90.00
Last column: nearest neighbours and their distance in Å.
Fractional positions:
Y 0.0000 0.5000 0.0000  2 Mn 2.51
Y 0.5000 0.0000 0.0000  2 Mn 2.51
Mn 0.0000 0.0000 0.0000  2 W 2.21
Nb 0.5000 0.5000 0.5000  8 Y 3.34, 4 W 3.55
W 0.0000 0.0000 0.5000  2 Mn 2.21



Below is crystalline FeTeOsI2 at its relaxed geometry, with properties calculated at the GGA-PBEsol level.

Computed properties:
E   -4.38 eV per atom
Theoretical density   9.11 g cm⁻³
ΔE_f (raw)   1.2708 eV/atom

Unit cell a=5.0260 b=5.0260 c=4.5291 alpha=90.00 beta=90.00 gamma=90.00
Last column: nearest neighbours and their distance in Å.
Fractional positions:
Fe 0.0000 0.0000 0.0000  2 Os 2.26, 4 I 2.51
Te 0.5000 0.5000 0.5000  8 I 3.38, 4 Os 3.55
Os 0.0000 0.0000 0.5000  2 Fe 2.26
I 0.0000 0.5000 0.0000  2 Fe 2.51
I 0.5000 0.0000 0.0000  2 Fe 2.51



Below is crystalline Rb6Ti2O7 at its relaxed geometry, with properties calculated at the GGA-PBEsol level.

Computed properties:
E   -6.12 eV per atom
Theoretical density   2.99 g cm⁻³
ΔE_f (raw)   -2.1553 eV/atom

Unit cell a=9.6567 b=9.6567 c=9.9041 alpha=90.00 beta=90.00 gamma=120.00
Last column: nearest neighbours and their distance in Å.
Fractional positions:
Rb 0.0272 0.6651 0.3739  5 O 2.76-2.95
Rb 0.0391 0.6516 0.8749  4 O 2.74-2.93
Rb 0.3349 0.3621 0.3739  5 O 2.76-2.95
Rb 0.3484 0.3874 0.8749  4 O 2.74-2.93
Rb 0.3621 0.0272 0.6261  5 O 2.76-2.95
Rb 0.3874 0.0391 0.1251  4 O 2.74-2.93
Rb 0.6126 0.9609 0.8749  4 O 2.74-2.93
Rb 0.6379 0.9728 0.3739  5 O 2.76-2.95
Rb 0.6516 0.6126 0.1251  4 O 2.74-2.93
Rb 0.6651 0.6379 0.6261  5 O 2.76-2.95
Rb 0.9609 0.3484 0.1251  4 O 2.74-2.93
Rb 0.9728 0.3349 0.6261  5 O 2.76-2.95
Ti 0.3333 0.6667 0.1817  4 O 1.81-1.90
Ti 0.3333 0.6667 0.5661  4 O 1.81-1.90
Ti 0.6667 0.3333 0.4339  4 O 1.81-1.90
Ti 0.6667 0.3333 0.8183  4 O 1.81-1.90
O 0.1660 0.6867 0.6218  1 Ti 1.81
O 0.1713 0.6963 0.1268  1 Ti 1.81
O 0.3037 0.4750 0.1268  1 Ti 1.81
O 0.3133 0.4793 0.6218  1 Ti 1.81
O 0.3333 0.6667 0.3738  2 Ti 1.90
O 0.4750 0.1713 0.8732  1 Ti 1.81
O 0.4793 0.1660 0.3782  1 Ti 1.81
O 0.5207 0.8340 0.6218  1 Ti 1.81
O 0.5250 0.8287 0.1268  1 Ti 1.81
O 0.6667 0.3333 0.6262  2 Ti 1.90
O 0.6867 0.5207 0.3782  1 Ti 1.81
O 0.6963 0.5250 0.8732  1 Ti 1.81
O 0.8287 0.3037 0.8732  1 Ti 1.81
O 0.8340 0.3133 0.3782  1 Ti 1.81



Below is crystalline LaCdAg at its relaxed geometry, with properties calculated at the GGA-PBEsol level.

Computed properties:
E   -3.62 eV per atom
Formation energy from the elements   -0.3345 eV/atom
Theoretical density   8.31 g cm⁻³

Unit cell a=4.9290 b=4.9290 c=3.4108 alpha=90.00 beta=90.00 gamma=120.00
Last column: nearest neighbours and their distance in Å.
Fractional positions:
La 0.0000 0.0000 0.0000  6 Cd 3.32, 6 Ag 3.32, 2 La 3.41
Cd 0.3333 0.6667 0.5000  3 Ag 2.85
Ag 0.6667 0.3333 0.5000  3 Cd 2.85



Below is crystalline SmCoO3 at its relaxed geometry, with properties calculated at the GGA-PBEsol level.

Computed properties:
E   -8.01 eV per atom
Theoretical density   8.21 g cm⁻³
ΔE_f (raw)   -2.2953 eV/atom

Unit cell a=5.3823 b=7.4296 c=5.2072 alpha=90.00 beta=90.00 gamma=90.00
Last column: nearest neighbours and their distance in Å.
Fractional positions:
Sm 0.0598 0.2500 0.0144  6 O 2.28-2.48
Sm 0.4402 0.7500 0.5144  6 O 2.28-2.48
Sm 0.5598 0.2500 0.4856  6 O 2.28-2.48
Sm 0.9402 0.7500 0.9856  6 O 2.28-2.48
Co 0.0000 0.0000 0.5000  6 O 1.91-1.93
Co 0.0000 0.5000 0.5000  6 O 1.91-1.93
Co 0.5000 0.0000 0.0000  6 O 1.91-1.93
Co 0.5000 0.5000 0.0000  6 O 1.91-1.93
O 0.0150 0.7500 0.4170  2 Co 1.91
O 0.2055 0.5430 0.7976  2 Co 1.93
O 0.2055 0.9570 0.7976  2 Co 1.93
O 0.2945 0.0430 0.2976  2 Co 1.93
O 0.2945 0.4570 0.2976  2 Co 1.93
O 0.4850 0.2500 0.9170  2 Co 1.91
O 0.5150 0.7500 0.0830  2 Co 1.91
O 0.7055 0.5430 0.7024  2 Co 1.93
O 0.7055 0.9570 0.7024  2 Co 1.93
O 0.7945 0.0430 0.2024  2 Co 1.93
O 0.7945 0.4570 0.2024  2 Co 1.93
O 0.9850 0.2500 0.5830  2 Co 1.91